# 1
Below is an optimized crystal structure of SmDy3P4, with properties calculated at the PBE level.

Output
- Calculated formation energy: -1.6012 eV/atom
- Energy: -0.243 hartree per atom

a b c (Å): 8.0651 11.4030 4.0338
angles (deg): 90.00 90.00 90.00
Last column: nearest neighbours and their distance in Å.
Space group Cmmm (No. 65)
One atom of each set of equivalent atoms:
Sm (0.0000, 0.0000, 0.0000)  6 P 2.87-2.88
Dy (0.0000, 0.5000, 0.0000)  6 P 2.83
Dy (0.2500, 0.2500, 0.5000)  6 P 2.85
P (0.0000, 0.2521, 0.0000)  5 Dy 2.83-2.85, 1 Sm 2.87
P (0.2459, 0.5000, 0.5000)  4 Dy 2.83-2.85, 2 Sm 2.88



# 2
Below is an optimized crystal structure of NaLiAg2, with properties calculated at the PBE level.

Output
- Calculated formation energy: 0.0471 eV/atom
- Energy: -0.080 hartree per atom

a b c (Å): 7.6610 7.6610 5.6466
angles (deg): 90.00 90.00 90.00
Last column: nearest neighbours and their distance in Å.
Space group I-42d (No. 122)
One atom of each set of equivalent atoms:
Na (0.0000, 0.0000, 0.0000)  2 Li 2.82, 4 Ag 2.96
Li (0.0000, 0.0000, 0.5000)  4 Ag 2.65, 2 Na 2.82
Ag (0.2198, 0.2500, 0.6250)  2 Li 2.65, 2 Ag 2.86, 2 Na 2.96



# 3
Below is an optimized crystal structure of Sm4PdRu3, with properties calculated at the PBE level.

Output
- Calculated formation energy: -0.3473 eV/atom
- Energy: -0.251 hartree per atom

a b c (Å): 4.9531 4.9531 6.9600
angles (deg): 90.00 90.00 90.00
Last column: nearest neighbours and their distance in Å.
Space group P4/mmm (No. 123)
One atom of each set of equivalent atoms:
Sm (0.0000, 0.5000, 0.2453)  6 Ru 3.01-3.05, 2 Pd 3.05
Pd (0.0000, 0.0000, 0.5000)  8 Sm 3.05
Ru (0.0000, 0.0000, 0.0000)  8 Sm 3.01
Ru (0.5000, 0.5000, 0.0000)  8 Sm 3.01
Ru (0.5000, 0.5000, 0.5000)  8 Sm 3.05



# 4
Below is an optimized crystal structure of Pm2PuNi3Ge4, with properties calculated at the PBE level.

Output
- Calculated formation energy: -0.5270 eV/atom
- Energy: -0.239 hartree per atom

a b c (Å): 4.1683 4.1683 11.0663
angles (deg): 90.00 90.00 90.00
Last column: nearest neighbours and their distance in Å.
Space group P-4m2 (No. 115)
One atom of each set of equivalent atoms:
Pm (0.0000, 0.5000, 0.2201)  8 Ge 3.16-3.21, 4 Ni 3.19
Pu (0.0000, 0.0000, 0.5000)  4 Ge 2.87, 4 Ni 2.95
Ni (0.0000, 0.5000, 0.8910)  5 Ge 2.36-2.41
Ni (0.5000, 0.5000, 0.5000)  4 Ge 2.87, 4 Pu 2.95
Ge (0.0000, 0.0000, 0.0000)  4 Ni 2.41
Ge (0.0000, 0.5000, 0.6781)  1 Ni 2.36
Ge (0.5000, 0.5000, 0.0000)  4 Ni 2.41



# 5
Below is an optimized crystal structure of InPW, with properties calculated at the PBE level.

Output
- Calculated formation energy: 0.0668 eV/atom
- Energy: -0.256 hartree per atom
- Energy above the lowest structure with this stoichiometry: 0 kJ/mol of formula units

a b c (Å): 3.1389 3.1389 6.3430
angles (deg): 90.00 90.00 120.00
Last column: nearest neighbours and their distance in Å.
Space group P3m1 (No. 156)
One atom of each set of equivalent atoms:
In (0.0000, 0.0000, 0.0000)  3 W 2.96, 3 P 3.02, 6 In 3.14
P (0.6667, 0.3333, 0.3803)  3 W 2.41
W (0.3333, 0.6667, 0.6303)  3 P 2.41



# 6
Below is an optimized crystal structure of KTaAg2, with properties calculated at the PBE level.

Output
- Calculated formation energy: 1.2119 eV/atom
- Energy: -0.127 hartree per atom
- Energy above the lowest structure with this stoichiometry: 283 kJ/mol of formula units

a b c (Å): 6.8932 6.8932 6.8932
angles (deg): 90.00 90.00 90.00
Last column: nearest neighbours and their distance in Å.
Space group F-43m (No. 216)
One atom of each set of equivalent atoms:
K (0.0000, 0.0000, 0.0000)  4 Ag 2.98, 4 Ta 2.98
Ta (0.2500, 0.2500, 0.7500)  4 K 2.98, 4 Ag 2.98
Ag (0.0000, 0.0000, 0.5000)  4 Ta 2.98, 4 Ag 2.98
Ag (0.2500, 0.2500, 0.2500)  4 Ag 2.98, 4 K 2.98



# 7
Below is an optimized crystal structure of TmAlSi2, with properties calculated at the PBE level.

Output
- Energy: -0.185 hartree per atom
- Uncorrected formation energy: -0.258 eV/atom

a b c (Å): 4.2641 4.2641 14.1592
angles (deg): 90.00 90.00 120.00
Last column: nearest neighbours and their distance in Å.
Space group R-3m (No. 166, hexagonal axes)
One atom of each set of equivalent atoms:
Tm (0.0000, 0.0000, 0.0000)  8 Si 2.99-3.03
Al (0.0000, 0.0000, 0.5000)  6 Si 2.55
Si (0.0000, 0.0000, 0.2140)  3 Al 2.55, 3 Si 2.80



# 8
Below is an optimized crystal structure of KZn2Rh2, with properties calculated at the PBE level.

Output
- Calculated formation energy: 0.0146 eV/atom
- Energy: -0.134 hartree per atom
- Energy above the lowest structure with this stoichiometry: 0 kJ/mol of formula units

a b c (Å): 7.8770 7.8770 2.7932
angles (deg): 90.00 90.00 90.00
Last column: nearest neighbours and their distance in Å.
Space group P4/mbm (No. 127)
One atom of each set of equivalent atoms:
K (0.0000, 0.0000, 0.0000)  2 K 2.79, 4 Zn 2.96
Zn (0.1609, 0.3391, 0.0000)  6 Rh 2.68-2.75, 2 Zn 2.79, 2 K 2.96
Rh (0.1269, 0.6269, 0.5000)  6 Zn 2.68-2.75, 3 Rh 2.79-2.83



D(E_F) per entry: 0.100 0.252 0.474 1.550 0.291 0.353 0.486 1.101 states/eV/atom
Volume per entry: 23.186 20.713 21.344 19.227 18.040 20.471 18.579 17.331 Å³ per atom
Total moment per entry: 0.0 0.0 0.0 5.2 0.0 0.0 0.0 0.5 μB per formula unit